[1]
Computed, not measured: RbAuNO2 after structural relaxation at the PBE level of DFT.

```
data_RbAuNO2
_chemical_formula_sum 'Rb1 Au1 N1 O2'
_cell_length_a 4.3917
_cell_length_b 4.3917
_cell_length_c 5.3184
_cell_angle_alpha 90.00
_cell_angle_beta 90.00
_cell_angle_gamma 90.00
_symmetry_space_group_name_H-M 'P 4/m m m'
_symmetry_Int_Tables_number 123
_symmetry_space_group_name_Hall '-P 4 2'
loop_
_atom_site_label
_atom_site_type_symbol
_atom_site_fract_x
_atom_site_fract_y
_atom_site_fract_z
_atom_site_occupancy
Rb1 Rb 0.0000 0.0000 0.0000 1
Au1 Au 0.5000 0.5000 0.5000 1
N1 N 0.0000 0.0000 0.5000 1
O1 O 0.0000 0.5000 0.0000 1
```

[2]
Computed, not measured: ReAuNO2 after structural relaxation at the PBE level of DFT.

```
data_ReAuNO2
_chemical_formula_sum 'Re1 Au1 N1 O2'
_cell_length_a 3.8737
_cell_length_b 3.8737
_cell_length_c 4.0139
_cell_angle_alpha 90.00
_cell_angle_beta 90.00
_cell_angle_gamma 90.00
_symmetry_space_group_name_H-M 'P 4/m m m'
_symmetry_Int_Tables_number 123
_symmetry_space_group_name_Hall '-P 4 2'
loop_
_atom_site_label
_atom_site_type_symbol
_atom_site_fract_x
_atom_site_fract_y
_atom_site_fract_z
_atom_site_occupancy
Re1 Re 0.0000 0.0000 0.0000 1
Au1 Au 0.5000 0.5000 0.5000 1
N1 N 0.0000 0.0000 0.5000 1
O1 O 0.0000 0.5000 0.0000 1
```

[3]
Computed, not measured: ReAuNO2 after structural relaxation at the PBE level of DFT.

```
data_ReAuNO2
_chemical_formula_sum 'Re1 Au1 N1 O2'
_cell_length_a 4.0208
_cell_length_b 4.0208
_cell_length_c 4.1228
_cell_angle_alpha 90.00
_cell_angle_beta 90.00
_cell_angle_gamma 90.00
_symmetry_space_group_name_H-M 'P 4/m m m'
_symmetry_Int_Tables_number 123
_symmetry_space_group_name_Hall '-P 4 2'
loop_
_atom_site_label
_atom_site_type_symbol
_atom_site_fract_x
_atom_site_fract_y
_atom_site_fract_z
_atom_site_occupancy
Re1 Re 0.0000 0.0000 0.0000 1
Au1 Au 0.5000 0.5000 0.5000 1
N1 N 0.5000 0.5000 0.0000 1
O1 O 0.0000 0.5000 0.5000 1
```

[4]
Computed, not measured: RuAuNO2 after structural relaxation at the PBE level of DFT.

```
data_RuAuNO2
_chemical_formula_sum 'Ru1 Au1 N1 O2'
_cell_length_a 4.0851
_cell_length_b 4.0851
_cell_length_c 3.9978
_cell_angle_alpha 90.00
_cell_angle_beta 90.00
_cell_angle_gamma 90.00
_symmetry_space_group_name_H-M 'P 4/m m m'
_symmetry_Int_Tables_number 123
_symmetry_space_group_name_Hall '-P 4 2'
loop_
_atom_site_label
_atom_site_type_symbol
_atom_site_fract_x
_atom_site_fract_y
_atom_site_fract_z
_atom_site_occupancy
Ru1 Ru 0.0000 0.0000 0.0000 1
Au1 Au 0.5000 0.5000 0.5000 1
N1 N 0.5000 0.5000 0.0000 1
O1 O 0.0000 0.5000 0.5000 1
```

[5]
Computed, not measured: RuAuNO2 after structural relaxation at the PBE level of DFT.

```
data_RuAuNO2
_chemical_formula_sum 'Ru1 Au1 N1 O2'
_cell_length_a 3.9482
_cell_length_b 3.9482
_cell_length_c 3.8330
_cell_angle_alpha 90.00
_cell_angle_beta 90.00
_cell_angle_gamma 90.00
_symmetry_space_group_name_H-M 'P 4/m m m'
_symmetry_Int_Tables_number 123
_symmetry_space_group_name_Hall '-P 4 2'
loop_
_atom_site_label
_atom_site_type_symbol
_atom_site_fract_x
_atom_site_fract_y
_atom_site_fract_z
_atom_site_occupancy
Ru1 Ru 0.0000 0.0000 0.0000 1
Au1 Au 0.5000 0.5000 0.5000 1
N1 N 0.0000 0.0000 0.5000 1
O1 O 0.0000 0.5000 0.0000 1
```

[6]
Computed, not measured: SbAuN2O after structural relaxation at the PBE level of DFT.

```
data_SbAuN2O
_chemical_formula_sum 'Sb1 Au1 N2 O1'
_cell_length_a 4.1031
_cell_length_b 4.1031
_cell_length_c 4.0325
_cell_angle_alpha 90.00
_cell_angle_beta 90.00
_cell_angle_gamma 90.00
_symmetry_space_group_name_H-M 'P 4/m m m'
_symmetry_Int_Tables_number 123
_symmetry_space_group_name_Hall '-P 4 2'
loop_
_atom_site_label
_atom_site_type_symbol
_atom_site_fract_x
_atom_site_fract_y
_atom_site_fract_z
_atom_site_occupancy
Sb1 Sb 0.0000 0.0000 0.0000 1
Au1 Au 0.5000 0.5000 0.5000 1
N1 N 0.0000 0.5000 0.5000 1
O1 O 0.5000 0.5000 0.0000 1
```

[7]
Computed, not measured: SbAuN2O after structural relaxation at the PBE level of DFT.

```
data_SbAuN2O
_chemical_formula_sum 'Sb1 Au1 N2 O1'
_cell_length_a 4.1478
_cell_length_b 4.1478
_cell_length_c 3.9273
_cell_angle_alpha 90.00
_cell_angle_beta 90.00
_cell_angle_gamma 90.00
_symmetry_space_group_name_H-M 'P 4/m m m'
_symmetry_Int_Tables_number 123
_symmetry_space_group_name_Hall '-P 4 2'
loop_
_atom_site_label
_atom_site_type_symbol
_atom_site_fract_x
_atom_site_fract_y
_atom_site_fract_z
_atom_site_occupancy
Sb1 Sb 0.0000 0.0000 0.0000 1
Au1 Au 0.5000 0.5000 0.5000 1
N1 N 0.0000 0.5000 0.0000 1
O1 O 0.0000 0.0000 0.5000 1
```

[8]
Computed, not measured: ScAuN2O after structural relaxation at the PBE level of DFT.

```
data_ScAuN2O
_chemical_formula_sum 'Sc1 Au1 N2 O1'
_cell_length_a 4.3072
_cell_length_b 4.3072
_cell_length_c 4.0066
_cell_angle_alpha 90.00
_cell_angle_beta 90.00
_cell_angle_gamma 90.00
_symmetry_space_group_name_H-M 'P 4/m m m'
_symmetry_Int_Tables_number 123
_symmetry_space_group_name_Hall '-P 4 2'
loop_
_atom_site_label
_atom_site_type_symbol
_atom_site_fract_x
_atom_site_fract_y
_atom_site_fract_z
_atom_site_occupancy
Sc1 Sc 0.0000 0.0000 0.0000 1
Au1 Au 0.5000 0.5000 0.5000 1
N1 N 0.0000 0.5000 0.0000 1
O1 O 0.0000 0.0000 0.5000 1
```

[9]
Computed, not measured: ScAuNO2 after structural relaxation at the PBE level of DFT.

```
data_ScAuNO2
_chemical_formula_sum 'Sc1 Au1 N1 O2'
_cell_length_a 4.0157
_cell_length_b 4.0157
_cell_length_c 4.3433
_cell_angle_alpha 90.00
_cell_angle_beta 90.00
_cell_angle_gamma 90.00
_symmetry_space_group_name_H-M 'P 4/m m m'
_symmetry_Int_Tables_number 123
_symmetry_space_group_name_Hall '-P 4 2'
loop_
_atom_site_label
_atom_site_type_symbol
_atom_site_fract_x
_atom_site_fract_y
_atom_site_fract_z
_atom_site_occupancy
Sc1 Sc 0.0000 0.0000 0.0000 1
Au1 Au 0.5000 0.5000 0.5000 1
N1 N 0.0000 0.0000 0.5000 1
O1 O 0.0000 0.5000 0.0000 1
```

[10]
Computed, not measured: ScAuN2O after structural relaxation at the PBE level of DFT.

```
data_ScAuN2O
_chemical_formula_sum 'Sc1 Au1 N2 O1'
_cell_length_a 4.0160
_cell_length_b 4.0160
_cell_length_c 4.0361
_cell_angle_alpha 90.00
_cell_angle_beta 90.00
_cell_angle_gamma 90.00
_symmetry_space_group_name_H-M 'P 4/m m m'
_symmetry_Int_Tables_number 123
_symmetry_space_group_name_Hall '-P 4 2'
loop_
_atom_site_label
_atom_site_type_symbol
_atom_site_fract_x
_atom_site_fract_y
_atom_site_fract_z
_atom_site_occupancy
Sc1 Sc 0.0000 0.0000 0.0000 1
Au1 Au 0.5000 0.5000 0.5000 1
N1 N 0.0000 0.5000 0.5000 1
O1 O 0.5000 0.5000 0.0000 1
```

[11]
Computed, not measured: ScAuNO2 after structural relaxation at the PBE level of DFT.

```
data_ScAuNO2
_chemical_formula_sum 'Sc1 Au1 N1 O2'
_cell_length_a 4.0053
_cell_length_b 4.0053
_cell_length_c 4.0717
_cell_angle_alpha 90.00
_cell_angle_beta 90.00
_cell_angle_gamma 90.00
_symmetry_space_group_name_H-M 'P 4/m m m'
_symmetry_Int_Tables_number 123
_symmetry_space_group_name_Hall '-P 4 2'
loop_
_atom_site_label
_atom_site_type_symbol
_atom_site_fract_x
_atom_site_fract_y
_atom_site_fract_z
_atom_site_occupancy
Sc1 Sc 0.0000 0.0000 0.0000 1
Au1 Au 0.5000 0.5000 0.5000 1
N1 N 0.5000 0.5000 0.0000 1
O1 O 0.0000 0.5000 0.5000 1
```

[12]
Computed, not measured: AuSeN2O after structural relaxation at the PBE level of DFT.

```
data_AuSeN2O
_chemical_formula_sum 'Au1 Se1 N2 O1'
_cell_length_a 4.0193
_cell_length_b 4.0193
_cell_length_c 3.7643
_cell_angle_alpha 90.00
_cell_angle_beta 90.00
_cell_angle_gamma 90.00
_symmetry_space_group_name_H-M 'P 4/m m m'
_symmetry_Int_Tables_number 123
_symmetry_space_group_name_Hall '-P 4 2'
loop_
_atom_site_label
_atom_site_type_symbol
_atom_site_fract_x
_atom_site_fract_y
_atom_site_fract_z
_atom_site_occupancy
Au1 Au 0.0000 0.0000 0.0000 1
Se1 Se 0.5000 0.5000 0.5000 1
N1 N 0.0000 0.5000 0.5000 1
O1 O 0.5000 0.5000 0.0000 1
```

| no. | energy (eV per atom) |
| --- | --- |
| 1 | -2.517 |
| 2 | -6.933 |
| 3 | -5.066 |
| 4 | -4.669 |
| 5 | -5.735 |
| 6 | -4.385 |
| 7 | -4.733 |
| 8 | -5.653 |
| 9 | -5.741 |
| 10 | -5.549 |
| 11 | -5.562 |
| 12 | -4.084 |